Crystalline Nd2YRuN4 at its relaxed geometry, computed with PBE.

a = 3.456 Å, b = 11.897 Å, c = 12.126 Å
α = 90.00°, β = 90.00°, γ = 90.00°
Space group Cmcm (No. 63)
Inequivalent atoms, fractional coordinates:
Nd  0.000  0.132  0.043
Y  0.000  0.371  0.250
Ru  0.000  0.358  0.750
N  0.000  0.061  0.250
N  0.000  0.227  0.638
N  0.000  0.500  0.000

theoretical density = 7.12 g cm⁻³
uncorrected formation energy = -0.823 eV/atom
crystal system = orthorhombic
Fermi-level density of states = 0.19 states/eV/atom

=====

Crystalline Na2TcOsO6 at its relaxed geometry, computed with PBE.

a = 5.462 Å, b = 5.462 Å, c = 3.905 Å
α = 90.00°, β = 90.00°, γ = 90.00°
Space group P4/mmm (No. 123)
Inequivalent atoms, fractional coordinates:
Na  0.000  0.500  0.000
Tc  0.000  0.000  0.500
Os  0.500  0.500  0.500
O  0.000  0.000  0.000
O  0.250  0.250  0.500
O  0.500  0.500  0.000

theoretical density = 6.13 g cm⁻³
uncorrected formation energy = -1.380 eV/atom
crystal system = tetragonal
Fermi-level density of states = 0.56 states/eV/atom